VASP calculation (PBE) on Ba2ZnOs after structural relaxation.

Cell: 5.8056 5.8056 5.8056 Å, 130.80 130.80 72.13°
Fractional coordinates of all 4 atoms:
Ba: 0.0000 0.0000 0.0000
Ba: 0.7500 0.2500 0.5000
Zn: 0.5000 0.5000 0.0000
Os: 0.2500 0.7500 0.5000

Mass density, g/cm³: 8.03
Calculated formation energy, meV per atom: 694

=====

VASP calculation (PBE) on BaZnOs2 after structural relaxation.

Cell: 2.9077 4.1704 6.9504 Å, 90.00 90.00 90.00°
Fractional coordinates of all 4 atoms:
Ba: 0.0000 0.0000 0.0000
Zn: 0.0000 0.0000 0.5000
Os: 0.5000 0.5000 0.3331
Os: 0.5000 0.5000 0.6669

Mass density, g/cm³: 11.49
Calculated formation energy, meV per atom: 862

=====

VASP calculation (PBE) on BaZn2Os after structural relaxation.

Cell: 5.2018 5.2018 3.0695 Å, 90.49 90.49 104.63°
Fractional coordinates of all 4 atoms:
Ba: 0.0000 0.0000 0.0000
Zn: 0.0000 0.5000 0.5000
Zn: 0.5000 0.0000 0.5000
Os: 0.5000 0.5000 0.0000

Mass density, g/cm³: 9.47
Calculated formation energy, meV per atom: 805

=====

VASP calculation (PBE) on BaZnOs2 after structural relaxation.

Cell: 2.9590 5.0084 5.2225 Å, 90.00 90.00 90.00°
Fractional coordinates of all 4 atoms:
Ba: 0.0000 0.0000 0.0000
Zn: 0.5000 0.5000 0.0000
Os: 0.0000 0.5000 0.5000
Os: 0.5000 0.0000 0.5000

Mass density, g/cm³: 12.51
Calculated formation energy, meV per atom: 1221

=====

VASP calculation (PBE) on BaZn2Os after structural relaxation.

Cell: 4.3997 4.3997 6.2484 Å, 110.43 110.43 59.88°
Fractional coordinates of all 4 atoms:
Ba: 0.0000 0.0000 0.0000
Zn: 0.1937 0.1937 0.5810
Zn: 0.8063 0.8063 0.4190
Os: 0.5000 0.5000 0.5000

Mass density, g/cm³: 7.95
Calculated formation energy, meV per atom: 167

=====

VASP calculation (PBE) on BaZn2Os after structural relaxation.

Cell: 4.9286 4.9286 4.9286 Å, 60.00 60.00 60.00°
Fractional coordinates of all 4 atoms:
Ba: 0.0000 0.0000 0.0000
Zn: 0.2500 0.2500 0.2500
Zn: 0.7500 0.7500 0.7500
Os: 0.5000 0.5000 0.5000

Mass density, g/cm³: 8.99
Calculated formation energy, meV per atom: 641